Record 1
BeFeP2Ir after structural relaxation. Source: Alexandria via LeMat-Bulk, functional PBE.

POSCAR file:
```
BeFeP2Ir
1.0
4.4620 0.0000 0.0000
0.0000 4.4620 0.0000
0.0000 0.0000 4.9191
Be Fe P Ir
1 1 2 1
direct
0.0000 0.0000 0.0000 Be
0.5000 0.5000 0.0000 Fe
0.0000 0.5000 0.5000 P
0.5000 0.0000 0.5000 P
0.5000 0.5000 0.5000 Ir
```

Output
As for the size of the total moment: 2.928 Bohr magnetons per cell. As for the formation energy: 1.07 eV/atom. Its space group is P4/mmm. The density of states at the Fermi level comes out at 0.398 states/eV/atom.

Record 2
RbBeFeIr2 after structural relaxation. Source: Alexandria via LeMat-Bulk, functional PBE.

POSCAR file:
```
RbBeFeIr2
1.0
4.2941 0.0000 0.0000
0.0000 4.2941 0.0000
0.0000 0.0000 4.9709
Rb Be Fe Ir
1 1 1 2
direct
0.0000 0.0000 0.0000 Rb
0.0000 0.0000 0.5000 Be
0.5000 0.5000 0.0000 Fe
0.0000 0.5000 0.5000 Ir
0.5000 0.0000 0.5000 Ir
```

Output
As for the size of the total moment: 4.018 Bohr magnetons per cell. As for the formation energy: 1.25 eV/atom. Its space group is P4/mmm. The density of states at the Fermi level comes out at 1.163 states/eV/atom.

Record 3
Be2FeTeIr after structural relaxation. Source: Alexandria via LeMat-Bulk, functional PBE.

POSCAR file:
```
Be2FeTeIr
1.0
4.1484 0.0000 0.0000
0.0000 4.1484 0.0000
0.0000 0.0000 4.4960
Be Fe Te Ir
2 1 1 1
direct
0.0000 0.5000 0.0000 Be
0.5000 0.0000 0.0000 Be
0.0000 0.0000 0.0000 Fe
0.5000 0.5000 0.5000 Te
0.0000 0.0000 0.5000 Ir
```

Output
As for the size of the total moment: 0.000 Bohr magnetons per cell. Its space group is P4/mmm. As for the formation energy (no corrections): 0.722 eV/atom. The density of states at the Fermi level comes out at 0.424 states/eV/atom.

Record 4
TiBeFeIr after structural relaxation. Source: Alexandria via LeMat-Bulk, functional PBE.

POSCAR file:
```
TiBeFeIr
1.0
0.0000 2.9072 2.9072
2.9072 0.0000 2.9072
2.9072 2.9072 0.0000
Ti Be Fe Ir
1 1 1 1
direct
0.0000 0.0000 0.0000 Ti
0.5000 0.5000 0.5000 Be
0.2500 0.2500 0.2500 Fe
0.7500 0.7500 0.7500 Ir
```

Output
As for the size of the total moment: 0.786 Bohr magnetons per cell. As for the formation energy: -0.49 eV/atom. Its space group is F-43m. The density of states at the Fermi level comes out at 1.018 states/eV/atom.

Record 5
BeFe2IrW after structural relaxation. Source: Alexandria via LeMat-Bulk, functional PBE.

POSCAR file:
```
BeFe2IrW
1.0
4.4306 0.0000 0.0000
0.0000 4.4306 0.0000
0.0000 0.0000 4.7896
Be Fe Ir W
1 2 1 1
direct
0.0000 0.0000 0.0000 Be
0.0000 0.5000 0.5000 Fe
0.5000 0.0000 0.5000 Fe
0.5000 0.5000 0.0000 Ir
0.5000 0.5000 0.5000 W
```

Output
As for the size of the total moment: 2.949 Bohr magnetons per cell. As for the formation energy: 1.80 eV/atom. Its space group is P4/mmm. The density of states at the Fermi level comes out at 1.230 states/eV/atom.

Record 6
BeFeIrW after structural relaxation. Source: Alexandria via LeMat-Bulk, functional PBE.

POSCAR file:
```
BeFeIrW
1.0
0.0000 2.9530 2.9530
2.9530 0.0000 2.9530
2.9530 2.9530 0.0000
Be Fe Ir W
1 1 1 1
direct
0.0000 0.0000 0.0000 Be
0.2500 0.2500 0.2500 Fe
0.7500 0.7500 0.7500 Ir
0.5000 0.5000 0.5000 W
```

Output
As for the size of the total moment: 0.938 Bohr magnetons per cell. As for the formation energy: -0.10 eV/atom. Its space group is F-43m. The density of states at the Fermi level comes out at 0.596 states/eV/atom.

- Which value of size of the total moment does entry 3 give?
  0.000 Bohr magnetons per cell